(1)
First-principles (PBE) data for a relaxed structure of Zr2AlSi2, as listed in Alexandria.

Cell: 6.1967 6.1967 6.1967 Å, 138.13 138.13 60.71°
With the nearest neighbours (Å) after each atom.
Fractional positions:
Zr1 0.2500 0.7500 0.5000  4 Si 2.70
Zr2 0.7500 0.2500 0.5000  4 Si 2.70
Si1 0.6057 0.6057 0.0000  1 Si 2.26
Si2 0.3943 0.3943 0.0000  1 Si 2.26
Al1 0.0000 0.0000 0.0000  8 Si 3.33, 8 Zr 3.47

Space-group type: I4/mmm, No. 139
Uncorrected energy (eV per atom): -6.430
ρ (Mg/m³): 4.21
Magnetization (μB per atom): 0.000
Fermi-level density of states (states/eV per cell): 3.61
Energy relative to the elements, uncorrected (eV/atom): -0.093
Crystal system: tetragonal

=====

(2)
First-principles (PBE) data for a relaxed structure of Zr2Al3Si, as listed in Alexandria.

Cell: 5.2907 5.2907 5.0237 Å, 90.00 90.00 120.00°
With the nearest neighbours (Å) after each atom.
Fractional positions:
Al1 0.5000 0.5000 0.5000  4 Al 2.65, 4 Zr 2.94
Al2 0.5000 0.0000 0.5000  4 Al 2.65, 4 Zr 2.94
Al3 0.0000 0.5000 0.5000  4 Al 2.65, 4 Zr 2.94
Si1 0.0000 0.0000 0.0000  6 Zr 3.05
Zr1 0.6667 0.3333 0.0000  6 Al 2.94, 3 Zr 3.05, 3 Si 3.05
Zr2 0.3333 0.6667 0.0000  6 Al 2.94, 3 Zr 3.05, 3 Si 3.05

Space-group type: P6/mmm, No. 191
Uncorrected energy (eV per atom): -5.693
ρ (Mg/m³): 3.97
Magnetization (μB per atom): 0.000
Fermi-level density of states (states/eV per cell): 5.54
Energy relative to the elements, uncorrected (eV/atom): -0.068
E above lowest polymorph (meV per atom): 435.2
Crystal system: hexagonal

=====

(3)
First-principles (PBE) data for a relaxed structure of Zr2Al2Si, as listed in Alexandria.

Cell: 7.6034 7.6034 7.6034 Å, 152.29 152.29 39.60°
With the nearest neighbours (Å) after each atom.
Fractional positions:
Si1 0.0000 0.0000 0.0000  2 Zr 2.76, 8 Al 2.90
Al1 0.5928 0.5928 0.0000  1 Al 2.66, 4 Si 2.90, 4 Zr 2.95
Al2 0.4072 0.4072 0.0000  1 Al 2.66, 4 Si 2.90, 4 Zr 2.95
Zr1 0.1931 0.1931 0.0000  1 Si 2.76, 5 Al 2.95-3.06, 4 Zr 3.05
Zr2 0.8069 0.8069 0.0000  1 Si 2.76, 5 Al 2.95-3.06, 4 Zr 3.05

Space-group type: I4/mmm, No. 139
Uncorrected energy (eV per atom): -6.254
ρ (Mg/m³): 4.63
Magnetization (μB per atom): 0.000
Fermi-level density of states (states/eV per cell): 3.69
Energy relative to the elements, uncorrected (eV/atom): -0.253
E above lowest polymorph (meV per atom): 292.4
Crystal system: tetragonal

=====

(4)
First-principles (PBE) data for a relaxed structure of ZrAl6Si, as listed in Alexandria.

Cell: 3.9405 3.9405 9.4575 Å, 90.00 90.00 90.00°
With the nearest neighbours (Å) after each atom.
Fractional positions:
Al1 0.0000 0.5000 0.6875  6 Al 2.63-2.79, 2 Si 2.65
Al2 0.5000 0.5000 0.1289  5 Al 2.44-2.63
Al3 0.5000 0.0000 0.3125  6 Al 2.63-2.79, 2 Si 2.65
Al4 0.0000 0.5000 0.3125  6 Al 2.63-2.79, 2 Si 2.65
Al5 0.5000 0.5000 0.8711  5 Al 2.44-2.63
Al6 0.5000 0.0000 0.6875  6 Al 2.63-2.79, 2 Si 2.65
Zr1 0.0000 0.0000 0.0000  8 Al 3.04
Si1 0.0000 0.0000 0.5000  8 Al 2.65

Space-group type: P4/mmm, No. 123
Uncorrected energy (eV per atom): -4.561
ρ (Mg/m³): 3.18
Magnetization (μB per atom): 0.000
Fermi-level density of states (states/eV per cell): 4.69
Energy relative to the elements, uncorrected (eV/atom): -0.008
E above lowest polymorph (meV per atom): 0.0
Crystal system: tetragonal

=====

(5)
First-principles (PBE) data for a relaxed structure of Zr4AlSi2, as listed in Alexandria.

Cell: 4.1087 4.1087 12.3291 Å, 90.00 90.00 120.00°
With the nearest neighbours (Å) after each atom.
Fractional positions:
Al1 0.0000 0.0000 0.6995  4 Zr 2.83-2.84
Si1 0.6667 0.3333 0.0573  5 Zr 2.57-2.87
Si2 0.3333 0.6667 0.3718  6 Zr 2.66-2.68
Zr1 0.0000 0.0000 0.4690  3 Si 2.66, 1 Al 2.84
Zr2 0.6667 0.3333 0.2698  4 Si 2.62-2.68
Zr3 0.0000 0.0000 0.9761  3 Si 2.57
Zr4 0.6667 0.3333 0.8244  3 Al 2.83, 1 Si 2.87, 3 Zr 3.02

Space-group type: P3m1, No. 156
Uncorrected energy (eV per atom): -6.716
ρ (Mg/m³): 4.13
Magnetization (μB per atom): 0.139
Fermi-level density of states (states/eV per cell): 5.65
Energy relative to the elements, uncorrected (eV/atom): 0.253
E above lowest polymorph (meV per atom): 789.1
Crystal system: trigonal

=====

(6)
First-principles (PBE) data for a relaxed structure of Zr4Al2Si, as listed in Alexandria.

Cell: 4.8818 4.8818 16.6990 Å, 59.47 59.47 59.51°
With the nearest neighbours (Å) after each atom.
Fractional positions:
Al1 0.9771 0.9771 0.7390  1 Si 2.47
Al2 0.4883 0.4883 0.1572  5 Zr 2.80-2.98, 2 Al 3.09
Al3 0.5117 0.5117 0.8428  5 Zr 2.80-2.98, 2 Al 3.09
Al4 0.0229 0.0229 0.2610  1 Si 2.47
Zr1 0.8191 0.8191 0.1578  4 Al 2.81-3.07
Zr2 0.1809 0.1809 0.8422  4 Al 2.81-3.07
Zr3 0.7755 0.7755 0.6230  3 Zr 2.77-2.93, 4 Si 2.77-2.99, 1 Al 2.98
Zr4 0.4526 0.4526 0.6044  4 Si 2.70-2.90, 3 Zr 2.77-2.93
Zr5 0.2245 0.2245 0.3770  3 Zr 2.77-2.93, 4 Si 2.77-2.99, 1 Al 2.98
Zr6 0.7226 0.7226 0.9507  2 Al 2.80-2.87, 3 Zr 3.11
Zr7 0.5474 0.5474 0.3956  4 Si 2.70-2.90, 3 Zr 2.77-2.93
Zr8 0.2774 0.2774 0.0493  2 Al 2.80-2.87, 3 Zr 3.11
Si1 0.8267 0.8267 0.4431  1 Al 2.47, 1 Zr 2.70
Si2 0.1733 0.1733 0.5569  1 Al 2.47, 1 Zr 2.70

Space-group type: C2/m, No. 12
Uncorrected energy (eV per atom): -6.940
ρ (Mg/m³): 5.34
Magnetization (μB per atom): 0.000
Fermi-level density of states (states/eV per cell): 10.74
Energy relative to the elements, uncorrected (eV/atom): -0.211
E above lowest polymorph (meV per atom): 144.7
Crystal system: monoclinic

=====

(7)
First-principles (PBE) data for a relaxed structure of Zr2AlSi4, as listed in Alexandria.

Cell: 3.4363 3.4363 12.7584 Å, 70.52 70.52 67.97°
With the nearest neighbours (Å) after each atom.
Fractional positions:
Si1 0.2484 0.2484 0.6383  3 Al 2.61-2.67, 2 Zr 2.74
Si2 0.7236 0.7236 0.9522  3 Si 2.34-2.36
Si3 0.7516 0.7516 0.3617  3 Al 2.61-2.67, 2 Zr 2.74
Si4 0.2764 0.2764 0.0478  3 Si 2.34-2.36
Zr1 0.4951 0.4951 0.2022  7 Si 2.72-2.94
Zr2 0.5049 0.5049 0.7978  7 Si 2.72-2.94
Al1 0.0000 0.0000 0.5000  6 Si 2.61-2.67

Space-group type: C2/m, No. 12
Uncorrected energy (eV per atom): -6.286
ρ (Mg/m³): 4.18
Magnetization (μB per atom): 0.000
Fermi-level density of states (states/eV per cell): 2.65
Energy relative to the elements, uncorrected (eV/atom): -0.210
E above lowest polymorph (meV per atom): 191.5
Crystal system: monoclinic

=====

(8)
First-principles (PBE) data for a relaxed structure of Zr2Al3Si, as listed in Alexandria.

Cell: 5.1987 5.1987 8.7810 Å, 90.00 90.00 120.00°
With the nearest neighbours (Å) after each atom.
Fractional positions:
Zr1 0.6667 0.3333 0.0650  3 Si 3.06, 9 Al 3.07-3.14, 4 Zr 3.21-3.25
Zr2 0.6667 0.3333 0.4350  3 Si 3.06, 9 Al 3.07-3.14, 4 Zr 3.21-3.25
Zr3 0.3333 0.6667 0.5650  3 Si 3.06, 9 Al 3.07-3.14, 4 Zr 3.21-3.25
Zr4 0.3333 0.6667 0.9350  3 Si 3.06, 9 Al 3.07-3.14, 4 Zr 3.21-3.25
Si1 0.0000 0.0000 0.0000  6 Al 2.67
Si2 0.0000 0.0000 0.5000  6 Al 2.67
Al1 0.8307 0.1693 0.7500  4 Al 2.56-2.64, 2 Si 2.67
Al2 0.1693 0.8307 0.2500  4 Al 2.56-2.64, 2 Si 2.67
Al3 0.3386 0.1693 0.7500  4 Al 2.56-2.64, 2 Si 2.67
Al4 0.1693 0.3386 0.2500  4 Al 2.56-2.64, 2 Si 2.67
Al5 0.8307 0.6614 0.7500  4 Al 2.56-2.64, 2 Si 2.67
Al6 0.6614 0.8307 0.2500  4 Al 2.56-2.64, 2 Si 2.67

Space-group type: P6_3/mmc, No. 194
Uncorrected energy (eV per atom): -6.114
ρ (Mg/m³): 4.71
Magnetization (μB per atom): 0.000
Fermi-level density of states (states/eV per cell): 7.33
Energy relative to the elements, uncorrected (eV/atom): -0.490
E above lowest polymorph (meV per atom): 13.6
Crystal system: hexagonal

=====

(9)
First-principles (PBE) data for a relaxed structure of Zr2AlSi8, as listed in Alexandria.

Cell: 3.7680 3.7680 12.8601 Å, 90.00 90.00 90.00°
With the nearest neighbours (Å) after each atom.
Fractional positions:
Si1 0.5000 0.5000 0.2815  4 Si 2.56, 4 Zr 2.75
Si2 0.5000 0.0000 0.8538  6 Si 2.56-2.66, 2 Al 2.66
Si3 0.5000 0.0000 0.5000  4 Si 2.66, 4 Zr 2.85
Si4 0.0000 0.5000 0.8538  6 Si 2.56-2.66, 2 Al 2.66
Si5 0.0000 0.5000 0.1462  6 Si 2.56-2.66, 2 Al 2.66
Si6 0.0000 0.5000 0.5000  4 Si 2.66, 4 Zr 2.85
Si7 0.5000 0.0000 0.1462  6 Si 2.56-2.66, 2 Al 2.66
Si8 0.5000 0.5000 0.7185  4 Si 2.56, 4 Zr 2.75
Zr1 0.0000 0.0000 0.3338  12 Si 2.75-3.06
Zr2 0.0000 0.0000 0.6662  12 Si 2.75-3.06
Al1 0.0000 0.0000 0.0000  8 Si 2.66

Space-group type: P4/mmm, No. 123
Uncorrected energy (eV per atom): -5.894
ρ (Mg/m³): 3.95
Magnetization (μB per atom): 0.000
Fermi-level density of states (states/eV per cell): 4.79
Energy relative to the elements, uncorrected (eV/atom): -0.056
Crystal system: tetragonal

=====

(10)
First-principles (PBE) data for a relaxed structure of Zr3Al3Si2, as listed in Alexandria.

Cell: 7.3215 7.3215 3.1292 Å, 90.00 90.00 120.00°
With the nearest neighbours (Å) after each atom.
Fractional positions:
Zr1 0.2482 0.2482 0.0000  2 Si 2.80, 6 Al 2.98-3.03, 2 Zr 3.13
Zr2 0.0000 0.7518 0.0000  2 Si 2.80, 6 Al 2.98-3.03, 2 Zr 3.13
Zr3 0.7518 0.0000 0.0000  2 Si 2.80, 6 Al 2.98-3.03, 2 Zr 3.13
Al1 0.0000 0.4052 0.5000  4 Si 2.72, 6 Zr 2.98-3.03
Al2 0.4052 0.0000 0.5000  4 Si 2.72, 6 Zr 2.98-3.03
Al3 0.5948 0.5948 0.5000  4 Si 2.72, 6 Zr 2.98-3.03
Si1 0.6667 0.3333 0.0000  6 Al 2.72, 3 Zr 2.80
Si2 0.3333 0.6667 0.0000  6 Al 2.72, 3 Zr 2.80

Space-group type: P-62m, No. 189
Uncorrected energy (eV per atom): -6.189
ρ (Mg/m³): 4.70
Magnetization (μB per atom): 0.000
Fermi-level density of states (states/eV per cell): 7.50
Energy relative to the elements, uncorrected (eV/atom): -0.224
E above lowest polymorph (meV per atom): 416.5
Crystal system: hexagonal

=====

(11)
First-principles (PBE) data for a relaxed structure of ZrAl2Si, as listed in Alexandria.

Cell: 2.9027 2.9027 8.5504 Å, 90.00 90.00 92.81°
With the nearest neighbours (Å) after each atom.
Fractional positions:
Al1 0.3866 0.6134 0.7574  1 Si 2.57
Al2 0.3866 0.6134 0.2426  1 Si 2.57
Si1 0.0250 0.9750 0.0000  2 Al 2.57
Zr1 0.8684 0.1316 0.5000  4 Zr 2.90, 8 Al 2.98-3.10

Space-group type: Amm2, No. 38
Uncorrected energy (eV per atom): -5.406
ρ (Mg/m³): 4.00
Magnetization (μB per atom): 0.000
Fermi-level density of states (states/eV per cell): 3.37
Energy relative to the elements, uncorrected (eV/atom): -0.042
Crystal system: orthorhombic

=====

(12)
First-principles (PBE) data for a relaxed structure of Zr2AlSi5, as listed in Alexandria.

Cell: 6.8830 6.8830 6.8830 Å, 149.70 120.77 67.98°
With the nearest neighbours (Å) after each atom.
Fractional positions:
Si1 0.8189 0.6024 0.2164  3 Si 2.34-2.60
Si2 0.5000 0.0000 0.5000  8 Si 2.60, 2 Zr 2.71
Si3 0.3860 0.6024 0.7836  3 Si 2.34-2.60
Si4 0.1811 0.3976 0.7836  3 Si 2.34-2.60
Si5 0.6140 0.3976 0.2164  3 Si 2.34-2.60
Zr1 0.2628 0.7628 0.5000  7 Si 2.66-2.79
Zr2 0.7372 0.2372 0.5000  7 Si 2.66-2.79
Al1 0.0000 0.0000 0.0000  8 Si 2.89

Space-group type: Immm, No. 71
Uncorrected energy (eV per atom): -6.160
ρ (Mg/m³): 4.16
Magnetization (μB per atom): 0.000
Fermi-level density of states (states/eV per cell): 3.20
Energy relative to the elements, uncorrected (eV/atom): -0.166
E above lowest polymorph (meV per atom): 30.9
Crystal system: orthorhombic